DFT (PBE-GGA) results for Sm6As3PbS2 after structural relaxation.

total magnetic moment	0.0	μB/f.u.
formation energy from raw total energies	-1.51	eV/atom
symmetry	C2/m, No. 12
VASP energy	-6.031	eV/atom

a = 9.401 Å, b = 9.401 Å, c = 8.474 Å
α = 102.76°, β = 102.76°, γ = 25.71°
Atoms (fractional coordinates):
Sm: 0.003 0.003 0.267
Sm: 0.327 0.327 0.913
Sm: 0.333 0.333 0.415
Sm: 0.667 0.667 0.585
Sm: 0.673 0.673 0.087
Sm: 0.997 0.997 0.733
As: 0.165 0.165 0.831
As: 0.500 0.500 0.500
As: 0.835 0.835 0.169
Pb: 0.500 0.500 0.000
S: 0.170 0.170 0.339
S: 0.830 0.830 0.661

DFT (PBE-GGA) results for PaFe3Ge3 after structural relaxation.

total magnetic moment	4.6	μB/f.u.
symmetry	P6_3/m, No. 176
energy of formation from the pure elements	-184	meV/atom
energy above the most stable polymorph in this dataset	0.0	meV/atom
VASP energy	-7.147	eV/atom

a = 7.994 Å, b = 7.994 Å, c = 4.115 Å
α = 90.00°, β = 90.00°, γ = 120.00°
Atoms (fractional coordinates):
Pa: 0.333 0.667 0.250
Pa: 0.667 0.333 0.750
Fe: 0.045 0.203 0.250
Fe: 0.158 0.955 0.250
Fe: 0.203 0.158 0.750
Fe: 0.797 0.842 0.250
Fe: 0.842 0.045 0.750
Fe: 0.955 0.797 0.750
Ge: 0.080 0.391 0.750
Ge: 0.311 0.920 0.750
Ge: 0.391 0.311 0.250
Ge: 0.609 0.689 0.750
Ge: 0.689 0.080 0.250
Ge: 0.920 0.609 0.250

DFT (PBE-GGA) results for Au3Br after structural relaxation.

total magnetic moment	0.0	μB/f.u.
formation energy from raw total energies	0.17	eV/atom
symmetry	Pmmn, No. 59
energy above the most stable polymorph in this dataset	63.4	meV/atom
VASP energy	-2.701	eV/atom

a = 4.605 Å, b = 5.666 Å, c = 6.777 Å
α = 90.00°, β = 90.00°, γ = 90.00°
Atoms (fractional coordinates):
Au: 0.250 0.001 0.111
Au: 0.250 0.499 0.111
Au: 0.250 0.750 0.737
Au: 0.750 0.250 0.263
Au: 0.750 0.501 0.889
Au: 0.750 0.999 0.889
Br: 0.250 0.250 0.538
Br: 0.750 0.750 0.462

DFT (PBE-GGA) results for Al2PSe after structural relaxation.

total magnetic moment	0.0	μB/f.u.
formation energy from raw total energies	-0.13	eV/atom
symmetry	P2/m, No. 10
energy above the most stable polymorph in this dataset	348.3	meV/atom
VASP energy	-4.220	eV/atom

a = 3.528 Å, b = 3.430 Å, c = 6.320 Å
α = 90.00°, β = 92.30°, γ = 90.00°
Atoms (fractional coordinates):
Al: 0.120 0.000 0.296
Al: 0.880 0.000 0.704
P: 0.500 0.500 0.500
Se: 0.000 0.500 0.000

DFT (PBE-GGA) results for Lu3PdC after structural relaxation.

total magnetic moment	0.0	μB/f.u.
symmetry	Pm-3m, No. 221
energy of formation from the pure elements	-469	meV/atom
VASP energy	-6.065	eV/atom

a = 4.707 Å, b = 4.707 Å, c = 4.707 Å
α = 90.00°, β = 90.00°, γ = 90.00°
Atoms (fractional coordinates):
Lu: 0.000 0.000 0.500
Lu: 0.000 0.500 0.000
Lu: 0.500 0.000 0.000
Pd: 0.500 0.500 0.500
C: 0.000 0.000 0.000

DFT (PBE-GGA) results for Nb2CrI8 after structural relaxation.

total magnetic moment	6.1	μB/f.u.
formation energy from raw total energies	-0.24	eV/atom
symmetry	C2/m, No. 12
VASP energy	-4.072	eV/atom

a = 8.047 Å, b = 8.047 Å, c = 8.179 Å
α = 95.66°, β = 95.66°, γ = 67.39°
Atoms (fractional coordinates):
Nb: 0.090 0.090 0.144
Nb: 0.910 0.910 0.856
Cr: 0.000 0.000 0.500
I: 0.123 0.123 0.822
I: 0.148 0.656 0.658
I: 0.302 0.302 0.190
I: 0.344 0.852 0.342
I: 0.656 0.148 0.658
I: 0.698 0.698 0.810
I: 0.852 0.344 0.342
I: 0.877 0.877 0.178

DFT (PBE-GGA) results for Ca2PaS4 after structural relaxation.

total magnetic moment	1.0	μB/f.u.
formation energy from raw total energies	-1.88	eV/atom
symmetry	Pbam, No. 55
VASP energy	-6.164	eV/atom

a = 7.077 Å, b = 12.073 Å, c = 4.070 Å
α = 90.00°, β = 90.00°, γ = 90.00°
Atoms (fractional coordinates):
Ca: 0.085 0.183 0.000
Ca: 0.415 0.683 0.000
Ca: 0.585 0.317 0.000
Ca: 0.915 0.817 0.000
Pa: 0.000 0.500 0.500
Pa: 0.500 0.000 0.500
S: 0.134 0.710 0.500
S: 0.250 0.458 0.000
S: 0.250 0.958 0.000
S: 0.366 0.210 0.500
S: 0.634 0.790 0.500
S: 0.750 0.042 0.000
S: 0.750 0.542 0.000
S: 0.866 0.290 0.500

DFT (PBE-GGA) results for NpTi2Cr after structural relaxation.

total magnetic moment	1.0	μB/f.u.
symmetry	R-3m, No. 166
energy of formation from the pure elements	357	meV/atom
VASP energy	-9.231	eV/atom

a = 9.465 Å, b = 9.465 Å, c = 9.465 Å
α = 17.23°, β = 17.23°, γ = 17.23°
Atoms (fractional coordinates):
Np: 0.000 0.000 0.000
Ti: 0.099 0.099 0.099
Ti: 0.901 0.901 0.901
Cr: 0.500 0.500 0.500

DFT (PBE-GGA) results for Tb2Sm3Pd2 after structural relaxation.

total magnetic moment	0.0	μB/f.u.
symmetry	C2/m, No. 12
energy of formation from the pure elements	-477	meV/atom
VASP energy	-5.307	eV/atom

a = 6.497 Å, b = 6.497 Å, c = 9.134 Å
α = 114.21°, β = 114.21°, γ = 33.99°
Atoms (fractional coordinates):
Tb: 0.159 0.159 0.312
Tb: 0.841 0.841 0.688
Sm: 0.386 0.386 0.060
Sm: 0.500 0.500 0.500
Sm: 0.614 0.614 0.940
Pd: 0.171 0.171 0.729
Pd: 0.829 0.829 0.271

DFT (PBE-GGA) results for Ni2SBr after structural relaxation.

total magnetic moment	0.0	μB/f.u.
formation energy from raw total energies	-0.20	eV/atom
symmetry	R-3m, No. 166
energy above the most stable polymorph in this dataset	0.0	meV/atom
VASP energy	-4.543	eV/atom

a = 6.444 Å, b = 6.444 Å, c = 6.444 Å
α = 33.43°, β = 33.43°, γ = 33.43°
Atoms (fractional coordinates):
Ni: 0.129 0.129 0.129
Ni: 0.871 0.871 0.871
S: 0.500 0.500 0.500
Br: 0.000 0.000 0.000

DFT (PBE-GGA) results for SrSi3O after structural relaxation.

total magnetic moment	3.6	μB/f.u.
formation energy from raw total energies	2.12	eV/atom
symmetry	Pm-3m, No. 221
energy above the most stable polymorph in this dataset	2133.3	meV/atom
VASP energy	-2.458	eV/atom

a = 5.718 Å, b = 5.718 Å, c = 5.718 Å
α = 90.00°, β = 90.00°, γ = 90.00°
Atoms (fractional coordinates):
Sr: 0.000 0.000 0.000
Si: 0.000 0.000 0.500
Si: 0.000 0.500 0.000
Si: 0.500 0.000 0.000
O: 0.500 0.500 0.500

DFT (PBE-GGA) results for Ba2In3Au after structural relaxation.

total magnetic moment	0.0	μB/f.u.
symmetry	Cm, No. 8
energy of formation from the pure elements	-524	meV/atom
energy above the most stable polymorph in this dataset	0.0	meV/atom
VASP energy	-3.080	eV/atom

a = 6.510 Å, b = 6.510 Å, c = 8.434 Å
α = 128.43°, β = 128.43°, γ = 46.48°
Atoms (fractional coordinates):
Ba: 0.000 0.000 0.000
Ba: 0.100 0.100 0.605
In: 0.376 0.376 0.198
In: 0.398 0.398 0.592
In: 0.713 0.713 0.397
Au: 0.716 0.716 0.019